[1]
Density functional theory data (PBE) for an optimized crystal structure of InSn2S2.

a b c (Å): 5.3283 5.3283 9.8630
angles (deg): 90.00 90.00 90.00
With the nearest neighbours (Å) after each atom.
Space group I4/mmm (No. 139)
Symmetry-distinct sites (fractional):
In1 0.0000 0.0000 0.0000 (multiplicity 2)  2 Sn 3.33, 8 S 3.63
Sn1 0.0000 0.0000 0.3373 (multiplicity 4)  4 S 2.80
S1 0.0000 0.5000 0.2500 (multiplicity 4)  4 Sn 2.80

Computed properties:
total moment	0.0	Bohr magnetons per cell
energy above the most stable polymorph in this dataset	0.000	eV per atom
D(E_F)	3.3	states/eV/cell
formation energy without anion corrections	-73	kJ/mol of formula units
crystal system	tetragonal

=====

[2]
Density functional theory data (PBE) for an optimized crystal structure of NiRu4W.

a b c (Å): 7.0865 7.0865 7.0865
angles (deg): 90.00 90.00 90.00
With the nearest neighbours (Å) after each atom.
Space group F-43m (No. 216)
Symmetry-distinct sites (fractional):
Ni1 0.0000 0.0000 0.0000 (multiplicity 4)  12 Ru 2.94, 4 W 3.07
Ru1 0.1255 0.1255 0.6255 (multiplicity 16)  6 Ru 2.50-2.52
W1 0.2500 0.2500 0.2500 (multiplicity 4)  12 Ru 2.94, 4 Ni 3.07

Computed properties:
total moment	0.1	Bohr magnetons per cell
formation enthalpy at 0 K	502	meV per atom
D(E_F)	43.3	states/eV/cell
crystal system	cubic

=====

[3]
Density functional theory data (PBE) for an optimized crystal structure of Tm5BSb4.

a b c (Å): 9.3967 9.3967 6.0248
angles (deg): 90.00 90.00 90.00
With the nearest neighbours (Å) after each atom.
Space group I4 (No. 79)
Symmetry-distinct sites (fractional):
Tm1 0.0000 0.0000 0.0000 (multiplicity 2)  1 B 2.66
Tm2 0.0965 0.2620 0.4662 (multiplicity 8)  1 B 2.63
B1 0.0000 0.0000 0.4415 (multiplicity 2)  5 Tm 2.63-2.66
Sb1 0.0837 0.3100 0.9651 (multiplicity 8)  6 Tm 3.02-3.15

Computed properties:
total moment	0.0	Bohr magnetons per cell
D(E_F)	17.1	states/eV/cell
formation energy without anion corrections	-686	kJ/mol of formula units
crystal system	tetragonal

=====

> Among the records above, which one has the lowest D(E_F)?

InSn2S2

=====

What did the first record say?
Density functional theory data (PBE) for an optimized crystal structure of InSn2S2.

a b c (Å): 5.3283 5.3283 9.8630
angles (deg): 90.00 90.00 90.00
With the nearest neighbours (Å) after each atom.
Space group I4/mmm (No. 139)
Symmetry-distinct sites (fractional):
In1 0.0000 0.0000 0.0000 (multiplicity 2)  2 Sn 3.33, 8 S 3.63
Sn1 0.0000 0.0000 0.3373 (multiplicity 4)  4 S 2.80
S1 0.0000 0.5000 0.2500 (multiplicity 4)  4 Sn 2.80

Computed properties:
total moment	0.0	Bohr magnetons per cell
energy above the most stable polymorph in this dataset	0.000	eV per atom
D(E_F)	3.3	states/eV/cell
formation energy without anion corrections	-73	kJ/mol of formula units
crystal system	tetragonal